Record 1
Here is a relaxed structure of CeSc4 from Alexandria. Energies are from PBE-GGA.

abc: 3.6887 3.6887 11.8043
angles: 98.99 98.99 90.00
Last column: nearest neighbours and their distance in Å.
Sites, in units of the cell vectors:
Sc 0.1326 0.1326 0.2653  1 Ce 3.05, 4 Sc 3.27
Sc 0.7500 0.2500 0.5000  4 Sc 2.61
Sc 0.8674 0.8674 0.7347  1 Ce 3.05, 4 Sc 3.27
Sc 0.2500 0.7500 0.5000  4 Sc 2.61
Ce 0.0000 0.0000 0.0000  2 Sc 3.05

## Properties
D(E_F) = 13.00 states/eV per cell
M_tot = 3.44 μB per cell
Energy of formation from the pure elements = 4.70 eV per formula unit
Excess energy over the best structure of this formula in the dataset = 0.9024 eV/atom

***

Record 2
Here is a relaxed structure of ErTiInHg from Alexandria. Energies are from PBE-GGA.

abc: 5.0358 5.0358 5.0358
angles: 60.00 60.00 60.00
Last column: nearest neighbours and their distance in Å.
Sites, in units of the cell vectors:
Ti 0.5000 0.5000 0.5000  4 Hg 3.08, 4 In 3.08
Hg 0.7500 0.7500 0.7500  4 Ti 3.08, 4 Er 3.08
Er 0.0000 0.0000 0.0000  4 In 3.08, 4 Hg 3.08
In 0.2500 0.2500 0.2500  4 Er 3.08, 4 Ti 3.08

## Properties
D(E_F) = 4.15 states/eV per cell
M_tot = 1.81 μB per cell
Energy of formation from the pure elements = -0.72 eV per formula unit

***

Record 3
Here is a relaxed structure of Mg2Bi2Pd from Alexandria. Energies are from PBE-GGA.

abc: 6.0514 6.3098 7.7762
angles: 113.94 112.90 90.00
Last column: nearest neighbours and their distance in Å.
Sites, in units of the cell vectors:
Bi 0.6574 0.4373 0.3148  2 Pd 2.88, 3 Mg 3.06-3.20
Mg 0.9094 0.7243 0.8188  2 Pd 2.76, 1 Bi 3.06
Bi 0.1574 0.8775 0.3148  2 Pd 2.88, 3 Mg 3.06-3.20
Bi 0.3426 0.5627 0.6852  2 Pd 2.88, 3 Mg 3.06-3.20
Pd 0.2500 0.5000 0.0000  4 Mg 2.76, 4 Bi 2.88, 2 Pd 3.03
Mg 0.4094 0.0945 0.8188  2 Pd 2.76, 1 Bi 3.06
Bi 0.8426 0.1225 0.6852  2 Pd 2.88, 3 Mg 3.06-3.20
Mg 0.0906 0.2757 0.1812  2 Pd 2.76, 1 Bi 3.06
Mg 0.5906 0.9055 0.1812  2 Pd 2.76, 1 Bi 3.06
Pd 0.7500 0.5000 0.0000  4 Mg 2.76, 4 Bi 2.88, 2 Pd 3.03

## Properties
D(E_F) = 3.86 states/eV per cell
M_tot = 0.00 μB per cell
Energy of formation from the pure elements = -1.64 eV per formula unit
Excess energy over the best structure of this formula in the dataset = 0.0000 eV/atom